# 1
VASP calculation (GGA-PBEsol) on crystalline La2TlPt at its relaxed geometry.

Structure (POSCAR):
```
La2TlPt
1.0
3.621 0.000 0.000
0.000 3.621 0.000
0.000 0.000 8.104
La Tl Pt
2 1 1
Direct
0.000 0.000 0.213 La
0.000 0.000 0.787 La
0.500 0.500 0.500 Tl
0.500 0.500 0.000 Pt
```

- DOS at the Fermi energy (states/eV/cell) = 2.96
- theoretical density (g/cm3) = 10.59
- E_form (eV/atom) = -0.74
- crystal system = tetragonal
- space group = P4/mmm, No. 123


# 2
VASP calculation (GGA-PBEsol) on crystalline InAu5 at its relaxed geometry.

Structure (POSCAR):
```
InAu5
1.0
2.056 -6.124 0.000
2.056 6.124 0.000
0.000 0.000 4.173
In Au
1 5
Direct
0.000 0.000 0.000 In
0.169 0.831 0.500 Au
0.335 0.665 0.000 Au
0.500 0.500 0.500 Au
0.665 0.335 0.000 Au
0.831 0.169 0.500 Au
```

- DOS at the Fermi energy (states/eV/cell) = 1.88
- theoretical density (g/cm3) = 17.38
- E_form (eV/atom) = -0.09
- crystal system = orthorhombic
- space group = Cmmm, No. 65


# 3
VASP calculation (GGA-PBEsol) on crystalline Cd5Cu4 at its relaxed geometry.

Structure (POSCAR):
```
Cd5Cu4
1.0
7.809 0.000 0.000
-3.904 6.763 0.000
0.000 0.000 5.476
Cd Cu
10 8
Direct
0.000 0.293 0.250 Cd
0.000 0.707 0.750 Cd
0.293 0.000 0.250 Cd
0.293 0.293 0.750 Cd
0.333 0.667 0.000 Cd
0.333 0.667 0.500 Cd
0.667 0.333 0.000 Cd
0.667 0.333 0.500 Cd
0.707 0.000 0.750 Cd
0.707 0.707 0.250 Cd
0.000 0.000 0.000 Cu
0.000 0.000 0.500 Cu
0.000 0.368 0.750 Cu
0.000 0.632 0.250 Cu
0.368 0.000 0.750 Cu
0.368 0.368 0.250 Cu
0.632 0.000 0.250 Cu
0.632 0.632 0.750 Cu
```

- DOS at the Fermi energy (states/eV/cell) = 3.61
- theoretical density (g/cm3) = 9.37
- E_form (eV/atom) = 0.08
- crystal system = hexagonal
- space group = P6_3/mcm, No. 193


# 4
VASP calculation (GGA-PBEsol) on crystalline LaCrTe3 at its relaxed geometry.

Structure (POSCAR):
```
LaCrTe3
1.0
5.209 0.000 0.000
0.000 5.209 0.000
0.000 0.000 5.209
La Cr Te
1 1 3
Direct
0.000 0.000 0.000 La
0.500 0.500 0.500 Cr
0.000 0.500 0.500 Te
0.500 0.000 0.500 Te
0.500 0.500 0.000 Te
```

- total energy (eV/atom) = -5.73
- DOS at the Fermi energy (states/eV/cell) = 2.33
- theoretical density (g/cm3) = 6.74
- crystal system = cubic
- space group = Pm-3m, No. 221


# 5
VASP calculation (GGA-PBEsol) on crystalline Y3ZnO at its relaxed geometry.

Structure (POSCAR):
```
Y3ZnO
1.0
4.661 0.000 0.000
0.000 4.661 0.000
0.000 0.000 4.661
Y Zn O
3 1 1
Direct
0.000 0.000 0.500 Y
0.000 0.500 0.000 Y
0.500 0.000 0.000 Y
0.500 0.500 0.500 Zn
0.000 0.000 0.000 O
```

- total energy (eV/atom) = -6.81
- DOS at the Fermi energy (states/eV/cell) = 2.30
- theoretical density (g/cm3) = 5.71
- crystal system = cubic
- space group = Pm-3m, No. 221


# 6
VASP calculation (GGA-PBEsol) on crystalline Re4TeRu at its relaxed geometry.

Structure (POSCAR):
```
Re4TeRu
1.0
0.000 3.670 3.670
3.670 0.000 3.670
3.670 3.670 0.000
Re Te Ru
4 1 1
Direct
0.124 0.124 0.124 Re
0.124 0.124 0.628 Re
0.124 0.628 0.124 Re
0.628 0.124 0.124 Re
0.500 0.500 0.500 Te
0.750 0.750 0.750 Ru
```

- total energy (eV/atom) = -10.28
- DOS at the Fermi energy (states/eV/cell) = 6.07
- theoretical density (g/cm3) = 16.35
- crystal system = cubic
- space group = F-43m, No. 216


# 7
VASP calculation (GGA-PBEsol) on crystalline Ta2SbTe at its relaxed geometry.

Structure (POSCAR):
```
Ta2SbTe
1.0
-1.666 2.347 5.211
1.666 -2.347 5.211
1.666 2.347 -5.211
Ta Sb Te
2 1 1
Direct
0.000 0.000 0.000 Ta
0.722 0.222 0.500 Ta
0.497 0.497 0.000 Sb
0.216 0.716 0.500 Te
```

- total energy (eV/atom) = -8.06
- DOS at the Fermi energy (states/eV/cell) = 2.32
- theoretical density (g/cm3) = 12.45
- crystal system = orthorhombic
- space group = Imm2, No. 44


# 8
VASP calculation (GGA-PBEsol) on crystalline MnP2O7 at its relaxed geometry.

Structure (POSCAR):
```
MnP2O7
1.0
3.214 -3.823 0.000
3.214 3.823 0.000
-1.009 0.000 4.292
Mn P O
1 2 7
Direct
0.000 0.000 0.000 Mn
0.442 0.151 0.592 P
0.849 0.558 0.408 P
0.043 0.702 0.716 O
0.251 0.226 0.819 O
0.298 0.957 0.284 O
0.558 0.442 0.500 O
0.682 0.033 0.730 O
0.774 0.749 0.181 O
0.967 0.318 0.270 O
```

- total energy (eV/atom) = -7.77
- theoretical density (g/cm3) = 3.60
- crystal system = monoclinic
- space group = C2, No. 5


theoretical density of number 7 (Ta2SbTe)? 12.45 g/cm3